Record 1
Density functional theory data (GGA+U) for a relaxed structure of VP2OF.

a = 3.981 Å, b = 3.981 Å, c = 4.525 Å
α = 90.00°, β = 90.00°, γ = 90.00°
Space group P4/mmm (No. 123)
Inequivalent atoms, fractional coordinates:
1 V 0.000 0.000 0.000 [1 per cell]
2 P 0.000 0.500 0.500 [2 per cell]
3 O 0.000 0.000 0.500 [1 per cell]
4 F 0.500 0.500 0.000 [1 per cell]

Results
The relative energy among the computed polymorphs is 0.1326 eV per atom. Its crystal system is tetragonal.

Record 2
Density functional theory data (GGA+U) for a relaxed structure of VP2OF.

a = 3.915 Å, b = 3.915 Å, c = 4.460 Å
α = 90.00°, β = 90.00°, γ = 90.00°
Space group P4/mmm (No. 123)
Inequivalent atoms, fractional coordinates:
1 V 0.000 0.000 0.000 [1 per cell]
2 P 0.000 0.500 0.500 [2 per cell]
3 O 0.500 0.500 0.000 [1 per cell]
4 F 0.500 0.500 0.500 [1 per cell]

Results
The relative energy among the computed polymorphs is 0.8126 eV per atom. Its crystal system is tetragonal.

Record 3
Density functional theory data (GGA+U) for a relaxed structure of VP2OF.

a = 4.623 Å, b = 4.623 Å, c = 3.656 Å
α = 90.00°, β = 90.00°, γ = 90.00°
Space group P4/mmm (No. 123)
Inequivalent atoms, fractional coordinates:
1 V 0.000 0.000 0.000 [1 per cell]
2 P 0.000 0.500 0.000 [2 per cell]
3 O 0.000 0.000 0.500 [1 per cell]
4 F 0.500 0.500 0.500 [1 per cell]

Results
The relative energy among the computed polymorphs is 0.0000 eV per atom. Its crystal system is tetragonal.

Record 4
Density functional theory data (GGA+U) for a relaxed structure of VPOF2.

a = 4.156 Å, b = 4.156 Å, c = 3.786 Å
α = 90.00°, β = 90.00°, γ = 90.00°
Space group P4/mmm (No. 123)
Inequivalent atoms, fractional coordinates:
1 V 0.000 0.000 0.000 [1 per cell]
2 P 0.500 0.500 0.500 [1 per cell]
3 O 0.000 0.000 0.500 [1 per cell]
4 F 0.000 0.500 0.000 [2 per cell]

Results
The relative energy among the computed polymorphs is 0.0000 eV per atom. Its crystal system is tetragonal.